1.
A relaxed Rb2CaPd crystal, computed with PBE.

a = 8.698 Å, b = 8.698 Å, c = 8.698 Å
α = 90.00°, β = 90.00°, γ = 90.00°
Space group Fm-3m (No. 225)
One atom of each set of equivalent atoms:
Rb 0.250 0.250 0.250 (multiplicity 8)
Ca 0.000 0.000 0.000 (multiplicity 4)
Pd 0.000 0.000 0.500 (multiplicity 4)

Magnetization (μB per atom): 0.00
Energy (eV per cell): -30.08
Formation energy (eV per atom): 0.40
Density (g/cm3): 3.204



2.
A relaxed RbSr2CaPd crystal, computed with PBE.

a = 6.181 Å, b = 6.181 Å, c = 5.929 Å
α = 90.00°, β = 90.00°, γ = 90.00°
Space group P4/mmm (No. 123)
One atom of each set of equivalent atoms:
Rb 0.000 0.000 0.000 (multiplicity 1)
Sr 0.000 0.500 0.500 (multiplicity 2)
Ca 0.500 0.500 0.000 (multiplicity 1)
Pd 0.500 0.500 0.500 (multiplicity 1)

Magnetization (μB per atom): 0.00
Energy (eV per cell): -12.62
Formation energy (eV per atom): -0.22
Density (g/cm3): 2.986



3.
A relaxed RbSrCa2Pd crystal, computed with PBE.

a = 5.777 Å, b = 5.777 Å, c = 6.541 Å
α = 90.00°, β = 90.00°, γ = 90.00°
Space group P4/mmm (No. 123)
One atom of each set of equivalent atoms:
Rb 0.000 0.000 0.000 (multiplicity 1)
Sr 0.500 0.500 0.000 (multiplicity 1)
Ca 0.000 0.500 0.500 (multiplicity 2)
Pd 0.000 0.000 0.500 (multiplicity 1)

Magnetization (μB per atom): 0.00
Energy (eV per cell): -12.11
Formation energy (eV per atom): -0.05
Density (g/cm3): 2.736



4.
A relaxed RbSrCa2Pd crystal, computed with PBE.

a = 5.902 Å, b = 5.902 Å, c = 6.130 Å
α = 90.00°, β = 90.00°, γ = 90.00°
Space group P4/mmm (No. 123)
One atom of each set of equivalent atoms:
Rb 0.000 0.000 0.000 (multiplicity 1)
Sr 0.500 0.500 0.000 (multiplicity 1)
Ca 0.000 0.500 0.500 (multiplicity 2)
Pd 0.500 0.500 0.500 (multiplicity 1)

Magnetization (μB per atom): 0.00
Energy (eV per cell): -12.93
Formation energy (eV per atom): -0.22
Density (g/cm3): 2.797



5.
A relaxed RbCaTl2Pd crystal, computed with PBE.

a = 5.538 Å, b = 5.538 Å, c = 5.444 Å
α = 90.00°, β = 90.00°, γ = 90.00°
Space group P4/mmm (No. 123)
One atom of each set of equivalent atoms:
Rb 0.000 0.000 0.000 (multiplicity 1)
Ca 0.500 0.500 0.000 (multiplicity 1)
Tl 0.000 0.500 0.500 (multiplicity 2)
Pd 0.500 0.500 0.500 (multiplicity 1)

Magnetization (μB per atom): 0.00
Energy (eV per cell): -13.77
Formation energy (eV per atom): -0.18
Density (g/cm3): 6.372



6.
A relaxed RbCaTl2Pd crystal, computed with PBE.

a = 6.045 Å, b = 6.045 Å, c = 6.410 Å
α = 90.00°, β = 90.00°, γ = 90.00°
Space group P4/mmm (No. 123)
One atom of each set of equivalent atoms:
Rb 0.000 0.000 0.000 (multiplicity 1)
Ca 0.000 0.000 0.500 (multiplicity 1)
Tl 0.000 0.500 0.000 (multiplicity 2)
Pd 0.500 0.500 0.500 (multiplicity 1)

Magnetization (μB per atom): 0.00
Energy (eV per cell): -7.26
Formation energy (eV per atom): 1.13
Density (g/cm3): 4.542



density of number 6 (RbCaTl2Pd)? 4.542 g/cm3